## Li2AcGa4Pt (PBE-GGA)

Data for an optimized crystal structure of Li2AcGa4Pt.

Cell: 4.353 4.353 9.770 Å, 77.13 77.13 60.00°
Fractional positions:
Li  0.225  0.225  0.326
Li  0.775  0.775  0.674
Ga  0.408  0.408  0.776
Ga  0.872  0.872  0.385
Ga  0.592  0.592  0.224
Ga  0.128  0.128  0.615
Ac  0.000  0.000  0.000
Pt  0.500  0.500  0.500

***

## LiAcGaPt (PBE-GGA)

Data for an optimized crystal structure of LiAcGaPt.

Cell: 4.956 4.956 4.956 Å, 60.00 60.00 60.00°
Fractional positions:
Ga  0.500  0.500  0.500
Pt  0.750  0.750  0.750
Ac  0.000  0.000  0.000
Li  0.250  0.250  0.250

Output
* polymorph energy (0 for the lowest one): 0.192 eV/atom

***

## LiAcGaPt2 (PBE-GGA)

Data for an optimized crystal structure of LiAcGaPt2.

Cell: 4.112 4.112 6.697 Å, 107.88 107.88 90.00°
Fractional positions:
Pt  0.383  0.383  0.766
Pt  0.617  0.617  0.234
Li  0.750  0.250  0.500
Ga  0.250  0.750  0.500
Ac  0.000  0.000  0.000

***

## LiAc2Ga3Pt4 (PBE-GGA)

Data for an optimized crystal structure of LiAc2Ga3Pt4.

Cell: 4.377 4.377 10.746 Å, 90.00 90.00 90.00°
Fractional positions:
Ga  0.500  0.000  0.877
Ga  0.000  0.500  0.123
Ga  0.000  0.000  0.500
Ac  0.500  0.000  0.249
Ac  0.000  0.500  0.751
Pt  0.000  0.000  0.000
Pt  0.000  0.500  0.363
Pt  0.500  0.000  0.637
Pt  0.500  0.500  0.000
Li  0.500  0.500  0.500

***

## LiAc2GaPt6 (PBE-GGA)

Data for an optimized crystal structure of LiAc2GaPt6.

Cell: 8.285 5.781 5.779 Å, 59.92 69.68 90.02°
Fractional positions:
Ga  0.500  0.500  0.000
Pt  0.263  0.769  0.984
Pt  0.263  0.248  0.984
Pt  0.737  0.752  0.016
Pt  0.737  0.752  0.495
Pt  0.263  0.248  0.505
Pt  0.737  0.231  0.016
Ac  0.128  0.710  0.581
Ac  0.872  0.290  0.419
Li  0.000  0.000  0.000

***

## LiAcGa2Pt (PBE-GGA)

Data for an optimized crystal structure of LiAcGa2Pt.

Cell: 4.605 4.605 5.916 Å, 112.90 112.90 90.00°
Fractional positions:
Ga  0.371  0.371  0.741
Ga  0.629  0.629  0.259
Li  0.750  0.250  0.500
Ac  0.000  0.000  0.000
Pt  0.250  0.750  0.500

***

## LiAcGa2Pt5 (PBE-GGA)

Data for an optimized crystal structure of LiAcGa2Pt5.

Cell: 4.155 4.155 10.509 Å, 90.00 90.00 90.00°
Fractional positions:
Pt  0.000  0.500  0.863
Pt  0.000  0.500  0.137
Pt  0.500  0.000  0.863
Pt  0.500  0.500  0.500
Pt  0.500  0.000  0.137
Li  0.000  0.000  0.000
Ga  0.500  0.500  0.734
Ga  0.500  0.500  0.266
Ac  0.000  0.000  0.500

***

## LiAc2Ga4Pt3 (PBE-GGA)

Data for an optimized crystal structure of LiAc2Ga4Pt3.

Cell: 4.450 4.450 10.505 Å, 90.00 90.00 90.00°
Fractional positions:
Pt  0.000  0.500  0.131
Pt  0.500  0.000  0.869
Pt  0.000  0.000  0.500
Li  0.500  0.500  0.500
Ga  0.500  0.000  0.623
Ga  0.000  0.500  0.377
Ga  0.000  0.000  0.000
Ga  0.500  0.500  0.000
Ac  0.000  0.500  0.754
Ac  0.500  0.000  0.246

***

In eV/f.u., the ΔH_f (0 K) values for the records above are, in order, -4.15 -2.14 -4.67 -9.38 -7.49 -3.37 -4.94 -8.65.
In μB per formula unit, the total magnetic moment values for the records above are, in order, 0.000 0.000 0.000 0.000 0.000 0.000 0.000 0.000.
In Mg/m³, the calculated density values for the records above are, in order, 7.66 9.62 11.29 11.70 12.88 9.01 12.35 10.58.